# 1
SiHgB2Rh: relaxed, GGA-PBEsol.

**Uncorrected formation energy**: 1.054 eV per atom
**Magnetic moment**: 0.000 μB per formula unit
**Space-group type**: P4/mmm (123)
**Calculated total energy**: -4.642 eV per atom

a = 3.945 Å, b = 3.945 Å, c = 4.688 Å
α = 90.00°, β = 90.00°, γ = 90.00°
Fractional coordinates of all 5 atoms:
Si  0.000  0.000  0.000
Hg  0.500  0.500  0.500
B  0.000  0.500  0.000
B  0.500  0.000  0.000
Rh  0.000  0.000  0.500

# 2
Ti2HgBS: relaxed, GGA-PBEsol.

**Uncorrected formation energy**: 0.081 eV per atom
**Magnetic moment**: 1.473 μB per formula unit
**Space-group type**: P4/mmm (123)
**Calculated total energy**: -5.641 eV per atom

a = 4.136 Å, b = 4.414 Å, c = 4.414 Å
α = 90.00°, β = 90.00°, γ = 90.00°
Last column: magnetic moment on the atom in μB.
Fractional coordinates of all 5 atoms:
Hg  0.500  0.000  0.000  0.01
B  0.000  0.000  0.000  0.01
Ti  0.000  0.500  0.000  0.57
Ti  0.000  0.000  0.500  0.57
S  0.500  0.500  0.500  -0.02

# 3
HgB2Sb: relaxed, GGA-PBEsol.

**Uncorrected formation energy**: 0.954 eV per atom
**Magnetic moment**: 0.000 μB per formula unit
**Space-group type**: I-42d (122)
**Calculated total energy**: -3.835 eV per atom

a = 5.290 Å, b = 5.290 Å, c = 6.303 Å
α = 114.81°, β = 114.81°, γ = 90.00°
Fractional coordinates of all 8 atoms:
Sb  0.500  0.500  0.000
Sb  0.750  0.250  0.500
Hg  0.000  0.000  0.000
Hg  0.250  0.750  0.500
B  0.378  0.875  0.250
B  0.625  0.622  0.750
B  0.125  0.128  0.750
B  0.872  0.375  0.250

# 4
HgBSb2Te: relaxed, GGA-PBEsol.

**Uncorrected formation energy**: 1.680 eV per atom
**Magnetic moment**: 0.000 μB per formula unit
**Space-group type**: P4/mmm (123)
**Calculated total energy**: -2.365 eV per atom

a = 5.412 Å, b = 5.412 Å, c = 5.620 Å
α = 90.00°, β = 90.00°, γ = 90.00°
Fractional coordinates of all 5 atoms:
B  0.500  0.500  0.500
Hg  0.000  0.000  0.000
Te  0.000  0.000  0.500
Sb  0.500  0.000  0.000
Sb  0.000  0.500  0.000

# 5
Si3HgB: relaxed, GGA-PBEsol.

**Uncorrected formation energy**: 0.627 eV per atom
**Magnetic moment**: 0.000 μB per formula unit
**Space-group type**: Pm-3m (221)
**Calculated total energy**: -4.337 eV per atom

a = 4.211 Å, b = 4.211 Å, c = 4.211 Å
α = 90.00°, β = 90.00°, γ = 90.00°
Fractional coordinates of all 5 atoms:
Si  0.000  0.000  0.500
Si  0.500  0.000  0.000
Si  0.000  0.500  0.000
B  0.000  0.000  0.000
Hg  0.500  0.500  0.500

# 6
SrSnHgB2: relaxed, GGA-PBEsol.

**Energy of formation from the pure elements**: 1.96 eV per atom
**Magnetic moment**: 0.001 μB per formula unit
**Space-group type**: P4/mmm (123)
**Calculated total energy**: -2.183 eV per atom

a = 4.909 Å, b = 4.909 Å, c = 5.691 Å
α = 90.00°, β = 90.00°, γ = 90.00°
Fractional coordinates of all 5 atoms:
B  0.000  0.500  0.000
B  0.500  0.000  0.000
Sr  0.000  0.000  0.000
Sn  0.500  0.500  0.500
Hg  0.000  0.000  0.500

# 7
SrHg2B: relaxed, GGA-PBEsol.

**Energy of formation from the pure elements**: 0.53 eV per atom
**Magnetic moment**: 0.000 μB per formula unit
**Space-group type**: Fm-3m (225)
**Calculated total energy**: -1.970 eV per atom

a = 4.986 Å, b = 4.986 Å, c = 4.986 Å
α = 60.00°, β = 60.00°, γ = 60.00°
Fractional coordinates of all 4 atoms:
B  0.000  0.000  0.000
Hg  0.750  0.750  0.750
Hg  0.250  0.250  0.250
Sr  0.500  0.500  0.500

# 8
TaHg3B: relaxed, GGA-PBEsol.

**Energy of formation from the pure elements**: 1.88 eV per atom
**Magnetic moment**: 0.004 μB per formula unit
**Space-group type**: Pm-3m (221)
**Calculated total energy**: -2.374 eV per atom

a = 5.296 Å, b = 5.296 Å, c = 5.296 Å
α = 90.00°, β = 90.00°, γ = 90.00°
Fractional coordinates of all 5 atoms:
Hg  0.000  0.000  0.500
Hg  0.000  0.500  0.000
Hg  0.500  0.000  0.000
B  0.500  0.500  0.500
Ta  0.000  0.000  0.000

# 9
Tl2HgBW: relaxed, GGA-PBEsol.

**Energy of formation from the pure elements**: 2.49 eV per atom
**Magnetic moment**: 3.501 μB per formula unit
**Space-group type**: P4/mmm (123)
**Calculated total energy**: -2.843 eV per atom

a = 5.295 Å, b = 5.471 Å, c = 5.471 Å
α = 90.00°, β = 90.00°, γ = 90.00°
Last column: magnetic moment on the atom in μB.
Fractional coordinates of all 5 atoms:
Tl  0.000  0.000  0.500  0.00
Tl  0.000  0.500  0.000  0.00
Hg  0.000  0.000  0.000  0.07
W  0.500  0.000  0.000  2.84
B  0.500  0.500  0.500  -0.14

# 10
YHg3B: relaxed, GGA-PBEsol.

**Energy of formation from the pure elements**: 1.49 eV per atom
**Magnetic moment**: 1.317 μB per formula unit
**Space-group type**: Pm-3m (221)
**Calculated total energy**: -1.617 eV per atom

a = 5.711 Å, b = 5.711 Å, c = 5.711 Å
α = 90.00°, β = 90.00°, γ = 90.00°
Last column: magnetic moment on the atom in μB.
Fractional coordinates of all 5 atoms:
Y  0.000  0.000  0.000  0.19
Hg  0.000  0.000  0.500  0.04
Hg  0.500  0.000  0.000  0.04
Hg  0.000  0.500  0.000  0.04
B  0.500  0.500  0.500  0.24

# 11
HoB6: relaxed, GGA-PBEsol.

**Energy of formation from the pure elements**: -0.39 eV per atom
**Magnetic moment**: 0.000 μB per formula unit
**Space-group type**: Pm-3m (221)
**Calculated total energy**: -7.115 eV per atom

a = 4.068 Å, b = 4.068 Å, c = 4.068 Å
α = 90.00°, β = 90.00°, γ = 90.00°
Fractional coordinates of all 7 atoms:
B  0.199  0.500  0.500
B  0.500  0.801  0.500
B  0.500  0.500  0.199
B  0.500  0.199  0.500
B  0.801  0.500  0.500
B  0.500  0.500  0.801
Ho  0.000  0.000  0.000

# 12
HoB12: relaxed, GGA-PBEsol.

**Energy of formation from the pure elements**: -0.29 eV per atom
**Magnetic moment**: 0.000 μB per formula unit
**Space-group type**: Fm-3m (225)
**Calculated total energy**: -7.142 eV per atom

a = 5.267 Å, b = 5.267 Å, c = 5.267 Å
α = 60.00°, β = 60.00°, γ = 60.00°
Fractional coordinates of all 13 atoms:
B  0.500  0.500  0.838
B  0.162  0.500  0.838
B  0.838  0.500  0.162
B  0.162  0.500  0.500
B  0.500  0.162  0.838
B  0.500  0.162  0.500
B  0.838  0.500  0.500
B  0.500  0.838  0.500
B  0.500  0.500  0.162
B  0.162  0.838  0.500
B  0.500  0.838  0.162
B  0.838  0.162  0.500
Ho  0.000  0.000  0.000

# 13
HoB2: relaxed, GGA-PBEsol.

**Energy of formation from the pure elements**: -0.67 eV per atom
**Magnetic moment**: 0.000 μB per formula unit
**Space-group type**: P6/mmm (191)
**Calculated total energy**: -6.996 eV per atom

a = 3.259 Å, b = 3.259 Å, c = 3.794 Å
α = 90.00°, β = 90.00°, γ = 120.00°
Fractional coordinates of all 3 atoms:
Ho  0.000  0.000  0.000
B  0.667  0.333  0.500
B  0.333  0.667  0.500

# 14
HoB2Ir3: relaxed, GGA-PBEsol.

**Energy of formation from the pure elements**: -0.71 eV per atom
**Magnetic moment**: 0.000 μB per formula unit
**Space-group type**: P6/mmm (191)
**Calculated total energy**: -8.787 eV per atom

a = 3.131 Å, b = 5.398 Å, c = 5.398 Å
α = 120.00°, β = 90.00°, γ = 90.00°
Fractional coordinates of all 6 atoms:
Ir  0.500  0.500  0.500
Ir  0.500  0.000  0.500
Ir  0.500  0.500  0.000
B  0.000  0.667  0.333
B  0.000  0.333  0.667
Ho  0.000  0.000  0.000

# 15
HoMgB5O10: relaxed, GGA-PBEsol.

**Uncorrected formation energy**: -2.748 eV per atom
**Magnetic moment**: 0.000 μB per formula unit
**Space-group type**: P2_1/c (14)
**Calculated total energy**: -8.292 eV per atom

a = 7.583 Å, b = 8.451 Å, c = 9.375 Å
α = 85.79°, β = 90.00°, γ = 90.00°
Fractional coordinates of all 68 atoms:
B  0.897  0.665  0.490
B  0.033  0.224  0.056
B  0.325  0.519  0.398
B  0.467  0.724  0.556
B  0.074  0.416  0.247
B  0.811  0.436  0.090
B  0.189  0.564  0.910
B  0.175  0.019  0.898
B  0.926  0.584  0.753
B  0.103  0.335  0.510
B  0.426  0.916  0.747
B  0.574  0.084  0.253
B  0.397  0.835  0.010
B  0.533  0.276  0.444
B  0.311  0.064  0.410
B  0.603  0.165  0.990
B  0.689  0.936  0.590
B  0.825  0.981  0.102
B  0.675  0.481  0.602
B  0.967  0.776  0.944
O  0.625  0.821  0.509
O  0.472  0.417  0.352
O  0.033  0.311  0.378
O  0.944  0.750  0.369
O  0.769  0.549  0.476
O  0.125  0.679  0.991
O  0.375  0.179  0.491
O  0.269  0.951  0.024
O  0.528  0.583  0.648
O  0.556  0.250  0.869
O  0.705  0.961  0.226
O  0.889  0.820  0.080
O  0.967  0.689  0.622
O  0.444  0.750  0.131
O  0.795  0.461  0.726
O  0.350  0.491  0.926
O  0.028  0.917  0.852
O  0.350  0.820  0.639
O  0.150  0.991  0.426
O  0.231  0.451  0.524
O  0.650  0.509  0.074
O  0.850  0.009  0.574
O  0.593  0.990  0.702
O  0.972  0.083  0.148
O  0.650  0.180  0.361
O  0.093  0.510  0.798
O  0.295  0.039  0.774
O  0.150  0.320  0.139
O  0.467  0.811  0.878
O  0.389  0.680  0.420
O  0.611  0.320  0.580
O  0.907  0.490  0.202
O  0.407  0.010  0.298
O  0.875  0.321  0.009
O  0.731  0.049  0.976
O  0.111  0.180  0.920
O  0.533  0.189  0.122
O  0.056  0.250  0.631
O  0.205  0.539  0.274
O  0.850  0.680  0.861
Ho  0.313  0.316  0.742
Ho  0.687  0.684  0.258
Ho  0.187  0.816  0.242
Ho  0.813  0.184  0.758
Mg  0.093  0.905  0.630
Mg  0.407  0.405  0.130
Mg  0.593  0.595  0.870
Mg  0.907  0.095  0.370

# 16
HoMnB4: relaxed, GGA-PBEsol.

**Energy of formation from the pure elements**: -0.73 eV per atom
**Magnetic moment**: 0.853 μB per formula unit
**Space-group type**: Pbam (55)
**Calculated total energy**: -7.856 eV per atom

a = 3.341 Å, b = 5.856 Å, c = 11.326 Å
α = 90.00°, β = 90.00°, γ = 90.00°
Last column: magnetic moment on the atom in μB.
Fractional coordinates of all 24 atoms:
B  0.000  0.281  0.184  -0.01
B  0.000  0.525  0.691  -0.01
B  0.000  0.781  0.316  -0.01
B  0.000  0.138  0.532  -0.01
B  0.000  0.219  0.684  -0.01
B  0.000  0.638  0.968  -0.01
B  0.000  0.719  0.816  -0.01
B  0.000  0.862  0.468  -0.01
B  0.000  0.975  0.191  -0.01
B  0.000  0.025  0.809  -0.01
B  0.000  0.388  0.454  -0.01
B  0.000  0.112  0.954  -0.01
B  0.000  0.475  0.309  -0.01
B  0.000  0.362  0.032  -0.01
B  0.000  0.888  0.046  -0.01
B  0.000  0.612  0.546  -0.01
Mn  0.500  0.873  0.916  0.90
Mn  0.500  0.627  0.416  0.90
Mn  0.500  0.127  0.084  0.90
Mn  0.500  0.373  0.584  0.90
Ho  0.500  0.374  0.850  -0.02
Ho  0.500  0.126  0.350  -0.02
Ho  0.500  0.874  0.650  -0.02
Ho  0.500  0.626  0.150  -0.02

# 17
Ho3B7Mo: relaxed, GGA-PBEsol.

**Energy of formation from the pure elements**: -0.68 eV per atom
**Magnetic moment**: 0.000 μB per formula unit
**Space-group type**: Cmcm (63)
**Calculated total energy**: -7.569 eV per atom

a = 3.420 Å, b = 8.078 Å, c = 9.383 Å
α = 90.00°, β = 90.00°, γ = 102.22°
Fractional coordinates of all 22 atoms:
B  0.135  0.270  0.353
B  0.019  0.039  0.408
B  0.045  0.090  0.750
B  0.981  0.961  0.908
B  0.772  0.545  0.968
B  0.865  0.730  0.853
B  0.772  0.545  0.532
B  0.135  0.270  0.147
B  0.228  0.455  0.468
B  0.019  0.039  0.092
B  0.228  0.455  0.032
B  0.981  0.961  0.592
B  0.865  0.730  0.647
B  0.955  0.910  0.250
Ho  0.607  0.213  0.940
Ho  0.393  0.787  0.440
Ho  0.393  0.787  0.060
Ho  0.744  0.488  0.250
Ho  0.256  0.512  0.750
Ho  0.607  0.213  0.560
Mo  0.553  0.106  0.250
Mo  0.447  0.894  0.750

# 18
HoNiB4: relaxed, GGA-PBEsol.

**Energy of formation from the pure elements**: -0.63 eV per atom
**Magnetic moment**: 0.000 μB per formula unit
**Space-group type**: I4/mmm (139)
**Calculated total energy**: -7.158 eV per atom

a = 6.746 Å, b = 6.746 Å, c = 6.746 Å
α = 102.51°, β = 113.06°, γ = 113.06°
Fractional coordinates of all 24 atoms:
B  0.000  0.421  0.885
B  0.165  0.276  0.888
B  0.835  0.112  0.724
B  0.388  0.276  0.112
B  0.464  0.885  0.885
B  0.000  0.885  0.421
B  0.835  0.724  0.112
B  0.612  0.888  0.724
B  0.000  0.115  0.579
B  0.612  0.724  0.888
B  0.536  0.115  0.115
B  0.165  0.888  0.276
B  0.536  0.421  0.421
B  0.388  0.112  0.276
B  0.464  0.579  0.579
B  0.000  0.579  0.115
Ho  0.000  0.202  0.202
Ho  0.000  0.798  0.798
Ho  0.500  0.750  0.250
Ho  0.500  0.250  0.750
Ni  0.772  0.500  0.272
Ni  0.772  0.272  0.500
Ni  0.228  0.728  0.500
Ni  0.228  0.500  0.728

# 19
HoNi12B6: relaxed, GGA-PBEsol.

**Energy of formation from the pure elements**: -0.44 eV per atom
**Magnetic moment**: 0.000 μB per formula unit
**Space-group type**: Cmc2_1 (36)
**Calculated total energy**: -6.810 eV per atom

a = 5.952 Å, b = 5.952 Å, c = 10.833 Å
α = 90.00°, β = 90.00°, γ = 104.72°
Fractional coordinates of all 38 atoms:
B  0.336  0.336  0.797
B  0.097  0.512  0.515
B  0.173  0.738  0.254
B  0.738  0.173  0.254
B  0.664  0.664  0.297
B  0.827  0.262  0.754
B  0.262  0.827  0.754
B  0.903  0.488  0.015
B  0.488  0.903  0.015
B  0.512  0.097  0.515
B  0.013  0.013  0.484
B  0.987  0.987  0.984
Ni  0.842  0.231  0.570
Ni  0.158  0.769  0.070
Ni  0.289  0.028  0.361
Ni  0.715  0.715  0.040
Ni  0.502  0.869  0.201
Ni  0.381  0.644  0.884
Ni  0.696  0.956  0.404
Ni  0.064  0.064  0.718
Ni  0.044  0.304  0.904
Ni  0.356  0.619  0.384
Ni  0.131  0.498  0.701
Ni  0.304  0.044  0.904
Ni  0.869  0.502  0.201
Ni  0.769  0.158  0.070
Ni  0.644  0.381  0.884
Ni  0.936  0.936  0.218
Ni  0.231  0.842  0.570
Ni  0.956  0.696  0.404
Ni  0.619  0.356  0.384
Ni  0.285  0.285  0.540
Ni  0.972  0.711  0.861
Ni  0.028  0.289  0.361
Ni  0.498  0.131  0.701
Ni  0.711  0.972  0.861
Ho  0.333  0.333  0.143
Ho  0.667  0.667  0.643